First-principles (PBE-GGA) data for PmInNi2 after structural relaxation, as listed in the Alexandria database.

Cell and atoms, written as POSCAR:
```
PmInNi2
1.0
3.372 0.000 0.000
0.000 3.372 0.000
0.000 0.000 6.474
Pm In Ni
1 1 2
direct
0.500 0.500 0.000
0.500 0.500 0.500
0.000 0.000 0.710
0.000 0.000 0.290
```

## Properties
Calculated total energy ... -4.935 eV per atom

First-principles (PBE-GGA) data for Pm12In6Ni after structural relaxation, as listed in the Alexandria database.

Cell and atoms, written as POSCAR:
```
Pm12In6Ni
1.0
8.431 0.331 0.396
-0.951 8.384 0.396
-0.951 -1.108 8.320
Pm In Ni
12 6 1
direct
0.543 0.199 0.431
0.569 0.457 0.801
0.016 0.911 0.681
0.984 0.089 0.319
0.319 0.984 0.089
0.681 0.016 0.911
0.457 0.801 0.569
0.801 0.569 0.457
0.199 0.431 0.543
0.911 0.681 0.016
0.431 0.543 0.199
0.089 0.319 0.984
0.337 0.140 0.736
0.860 0.264 0.663
0.736 0.337 0.140
0.264 0.663 0.860
0.140 0.736 0.337
0.663 0.860 0.264
0.000 0.000 0.000
```

## Properties
Calculated total energy ... -4.391 eV per atom

First-principles (PBE-GGA) data for Pm8InNi2 after structural relaxation, as listed in the Alexandria database.

Cell and atoms, written as POSCAR:
```
Pm8InNi2
1.0
5.490 -0.065 -0.097
-1.001 8.089 -0.283
-1.001 -3.376 7.356
Pm Ni In
8 2 1
direct
0.500 0.751 0.249
0.066 0.330 0.078
0.934 0.670 0.922
0.304 0.604 0.604
0.696 0.396 0.396
0.066 0.078 0.330
0.500 0.249 0.751
0.934 0.922 0.670
0.000 0.700 0.300
0.000 0.300 0.700
0.500 0.000 0.000
```

## Properties
Calculated total energy ... -4.888 eV per atom

First-principles (PBE-GGA) data for Pm2In8Ni after structural relaxation, as listed in the Alexandria database.

Cell and atoms, written as POSCAR:
```
Pm2In8Ni
1.0
-4.473 -1.256 0.478
0.784 -1.090 4.474
-2.863 11.455 3.293
In Pm Ni
8 2 1
direct
0.500 0.000 0.500
0.500 0.000 0.880
0.500 0.500 0.308
0.000 0.500 0.880
0.500 0.500 0.692
0.500 0.000 0.120
0.000 0.500 0.500
0.000 0.500 0.120
0.000 0.000 0.693
0.000 0.000 0.307
0.000 0.000 0.000
```

## Properties
Calculated total energy ... -3.753 eV per atom

First-principles (PBE-GGA) data for Pm3InNi3 after structural relaxation, as listed in the Alexandria database.

Cell and atoms, written as POSCAR:
```
Pm3InNi3
1.0
-4.431 3.094 0.617
-3.374 -5.898 5.342
4.898 6.386 3.152
Ni Pm In
6 6 2
direct
0.750 0.036 0.667
0.750 0.333 0.369
0.250 0.369 0.036
0.750 0.631 0.964
0.250 0.964 0.333
0.250 0.667 0.631
0.250 0.661 0.956
0.250 0.044 0.704
0.750 0.704 0.661
0.750 0.956 0.296
0.250 0.296 0.339
0.750 0.339 0.044
0.250 0.667 0.333
0.750 0.333 0.667
```

## Properties
Calculated total energy ... -5.022 eV per atom

First-principles (PBE-GGA) data for Pm3In2Ni4 after structural relaxation, as listed in the Alexandria database.

Cell and atoms, written as POSCAR:
```
Pm3In2Ni4
1.0
-1.310 -3.753 1.719
5.150 1.267 1.233
-3.444 4.265 6.686
Pm Ni In
3 4 2
direct
0.629 0.258 0.382
0.371 0.742 0.618
0.000 0.000 0.000
0.271 0.541 0.920
0.729 0.459 0.080
0.075 0.149 0.621
0.925 0.851 0.379
0.675 0.349 0.780
0.325 0.651 0.220
```

## Properties
Calculated total energy ... -5.145 eV per atom

First-principles (PBE-GGA) data for Pm4InNi2 after structural relaxation, as listed in the Alexandria database.

Cell and atoms, written as POSCAR:
```
Pm4InNi2
1.0
-2.080 -1.660 -7.079
6.845 -3.051 1.021
-5.461 -3.768 5.371
Pm Ni In
8 4 2
direct
0.404 0.114 0.346
0.482 0.692 0.847
0.309 0.518 0.154
0.943 0.232 0.347
0.885 0.596 0.653
0.768 0.058 0.654
0.364 0.155 0.846
0.845 0.636 0.153
0.625 0.875 0.250
0.125 0.375 0.750
0.625 0.375 0.750
0.625 0.374 0.249
0.250 0.750 0.500
0.000 0.000 0.000
```

## Properties
Calculated total energy ... -4.904 eV per atom

First-principles (PBE-GGA) data for Pm4In8Ni after structural relaxation, as listed in the Alexandria database.

Cell and atoms, written as POSCAR:
```
Pm4In8Ni
1.0
4.656 0.000 0.000
0.000 4.716 0.000
0.000 0.000 15.530
Ni In Pm
1 8 4
direct
0.000 0.000 0.298
0.500 0.000 0.233
0.500 0.500 0.760
0.000 0.000 0.459
0.500 0.500 0.075
0.000 0.500 0.229
0.500 0.000 0.581
0.000 0.000 0.754
0.000 0.500 0.916
0.000 0.000 0.083
0.000 0.500 0.607
0.500 0.500 0.398
0.500 0.000 0.910
```

## Properties
Calculated total energy ... -3.959 eV per atom

First-principles (PBE-GGA) data for Pm5In2Ni2 after structural relaxation, as listed in the Alexandria database.

Cell and atoms, written as POSCAR:
```
Pm5In2Ni2
1.0
-5.165 -4.816 -0.398
0.329 -1.055 8.507
-5.666 6.351 -3.319
In Pm Ni
4 10 4
direct
0.000 0.785 0.569
0.500 0.715 0.431
0.500 0.285 0.569
0.000 0.215 0.431
0.650 0.064 0.764
0.150 0.436 0.236
0.350 0.700 0.764
0.000 0.000 0.000
0.500 0.500 0.000
0.650 0.300 0.236
0.150 0.200 0.764
0.850 0.564 0.764
0.850 0.800 0.236
0.350 0.936 0.236
0.628 0.894 0.000
0.872 0.394 0.000
0.128 0.606 0.000
0.372 0.106 0.000
```

## Properties
Calculated total energy ... -4.836 eV per atom

First-principles (PBE-GGA) data for Pm2In3Ni2 after structural relaxation, as listed in the Alexandria database.

Cell and atoms, written as POSCAR:
```
Pm2In3Ni2
1.0
4.330 0.000 0.000
-2.165 4.812 -2.038
0.000 -0.233 7.441
Ni Pm In
2 2 3
direct
0.857 0.713 0.797
0.143 0.287 0.203
0.855 0.710 0.207
0.145 0.290 0.793
0.632 0.264 0.446
0.368 0.736 0.554
0.500 0.000 0.000
```

## Properties
Calculated total energy ... -4.585 eV per atom

First-principles (PBE-GGA) data for Pm6InNi after structural relaxation, as listed in the Alexandria database.

Cell and atoms, written as POSCAR:
```
Pm6InNi
1.0
-2.408 -5.749 1.851
3.215 2.124 5.238
-5.309 3.598 0.451
Pm In Ni
6 1 1
direct
0.578 0.190 0.214
0.810 0.422 0.786
0.777 0.777 0.360
0.223 0.223 0.640
0.190 0.578 0.214
0.422 0.810 0.786
0.000 0.000 0.000
0.500 0.500 0.500
```

## Properties
Calculated total energy ... -4.671 eV per atom

First-principles (PBE-GGA) data for Pm11In9Ni4 after structural relaxation, as listed in the Alexandria database.

Cell and atoms, written as POSCAR:
```
Pm11In9Ni4
1.0
-1.036 2.885 2.158
-5.207 6.089 -10.642
-8.801 -7.821 6.230
In Pm Ni
9 11 4
direct
0.500 0.079 0.220
0.500 0.780 0.921
0.500 0.220 0.079
0.500 0.368 0.839
0.500 0.632 0.161
0.500 0.921 0.780
0.500 0.500 0.500
0.500 0.161 0.632
0.500 0.839 0.368
0.000 0.839 0.161
0.000 0.079 0.417
0.000 0.161 0.839
0.000 0.921 0.583
0.000 0.626 0.374
0.000 0.417 0.079
0.000 0.000 0.000
0.000 0.313 0.313
0.000 0.687 0.687
0.000 0.374 0.626
0.000 0.583 0.921
0.500 0.753 0.551
0.500 0.449 0.247
0.500 0.247 0.449
0.500 0.551 0.753
```

## Properties
Calculated total energy ... -4.667 eV per atom

First-principles (PBE-GGA) data for PmIn2Ni after structural relaxation, as listed in the Alexandria database.

Cell and atoms, written as POSCAR:
```
PmIn2Ni
1.0
-2.186 2.390 -0.815
-1.393 -2.041 -2.248
-4.859 -2.611 5.381
In Pm Ni
2 1 1
direct
0.000 0.000 0.806
0.000 0.000 0.194
0.500 0.500 0.500
0.500 0.500 0.000
```

## Properties
Excess energy over the best structure of this formula in the dataset ... 178 meV per atom
Calculated total energy ... -4.259 eV per atom

First-principles (PBE-GGA) data for PmInNi4 after structural relaxation, as listed in the Alexandria database.

Cell and atoms, written as POSCAR:
```
PmInNi4
1.0
-1.334 0.288 4.854
-1.957 -4.027 2.320
2.683 -2.443 3.501
In Ni Pm
1 4 1
direct
0.000 0.000 0.000
0.626 0.626 0.626
0.626 0.121 0.626
0.626 0.626 0.121
0.121 0.626 0.626
0.250 0.250 0.250
```

## Properties
Calculated total energy ... -5.439 eV per atom

First-principles (PBE-GGA) data for PmIn6Ni4 after structural relaxation, as listed in the Alexandria database.

Cell and atoms, written as POSCAR:
```
PmIn6Ni4
1.0
6.765 -0.161 -0.237
-3.271 5.924 0.237
-3.271 -1.958 5.596
In Ni Pm
6 4 1
direct
0.500 0.500 0.000
0.637 0.109 0.109
0.000 0.891 0.529
0.363 0.471 0.471
0.500 0.000 0.500
0.000 0.529 0.891
0.000 0.267 0.594
0.327 0.733 0.733
0.673 0.406 0.406
0.000 0.594 0.267
0.000 0.000 0.000
```

## Properties
Calculated total energy ... -4.312 eV per atom

First-principles (PBE-GGA) data for Pm3In7Ni2 after structural relaxation, as listed in the Alexandria database.

Cell and atoms, written as POSCAR:
```
Pm3In7Ni2
1.0
-1.465 -0.125 4.250
-1.324 -4.356 -0.584
13.302 -2.283 4.518
In Ni Pm
7 2 3
direct
0.000 0.587 0.173
0.000 0.413 0.827
0.500 0.915 0.825
0.500 0.085 0.175
0.500 0.279 0.560
0.500 0.721 0.440
0.000 0.000 0.000
0.500 0.374 0.738
0.500 0.626 0.262
0.500 0.500 0.000
0.000 0.183 0.361
0.000 0.817 0.639
```

## Properties
Calculated total energy ... -4.151 eV per atom

First-principles (PBE-GGA) data for PmIn2Ni2 after structural relaxation, as listed in the Alexandria database.

Cell and atoms, written as POSCAR:
```
PmIn2Ni2
1.0
-1.773 0.854 -4.054
-4.129 -0.721 1.654
2.205 9.663 3.576
In Pm Ni
4 2 4
direct
0.500 0.000 0.000
0.189 0.189 0.377
0.811 0.811 0.623
0.000 0.500 0.000
0.365 0.365 0.731
0.635 0.635 0.269
0.750 0.250 0.500
0.064 0.064 0.128
0.936 0.936 0.872
0.250 0.750 0.500
```

## Properties
Excess energy over the best structure of this formula in the dataset ... 52 meV per atom
Calculated total energy ... -4.657 eV per atom

First-principles (PBE-GGA) data for PmIn3Ni after structural relaxation, as listed in the Alexandria database.

Cell and atoms, written as POSCAR:
```
PmIn3Ni
1.0
4.945 0.000 0.000
0.000 4.945 0.000
0.000 0.000 4.945
In Pm Ni
3 1 1
direct
0.000 0.500 0.000
0.000 0.000 0.500
0.500 0.000 0.000
0.500 0.500 0.500
0.000 0.000 0.000
```

## Properties
Excess energy over the best structure of this formula in the dataset ... 167 meV per atom
Calculated total energy ... -3.958 eV per atom

First-principles (PBE-GGA) data for PmIn12Ni4 after structural relaxation, as listed in the Alexandria database.

Cell and atoms, written as POSCAR:
```
PmIn12Ni4
1.0
-1.472 7.125 3.662
-2.037 -6.096 5.004
7.919 -0.524 -1.835
Pm In Ni
1 12 4
direct
0.000 0.000 0.000
0.497 0.821 0.675
0.821 0.675 0.497
0.854 0.179 0.675
0.821 0.325 0.146
0.503 0.179 0.325
0.179 0.325 0.503
0.325 0.146 0.821
0.325 0.503 0.179
0.146 0.821 0.325
0.179 0.675 0.854
0.675 0.497 0.821
0.675 0.854 0.179
0.000 0.500 0.000
0.500 0.000 0.000
0.000 0.000 0.500
0.500 0.500 0.500
```

## Properties
Calculated total energy ... -3.613 eV per atom

First-principles (PBE-GGA) data for Pm12InNi5 after structural relaxation, as listed in the Alexandria database.

Cell and atoms, written as POSCAR:
```
Pm12InNi5
1.0
7.979 0.030 -3.124
-4.106 7.095 -2.496
-0.079 -0.030 8.569
Pm In Ni
12 1 5
direct
0.189 0.396 0.207
0.189 0.982 0.793
0.307 0.678 0.985
0.693 0.678 0.371
0.811 0.018 0.207
0.882 0.182 0.700
0.811 0.604 0.793
0.693 0.322 0.015
0.118 0.818 0.300
0.519 0.818 0.700
0.307 0.322 0.629
0.481 0.182 0.300
0.000 0.500 0.500
0.000 0.000 0.000
0.500 0.123 0.623
0.369 0.369 0.000
0.500 0.877 0.377
0.631 0.631 0.000
```

## Properties
Calculated total energy ... -5.195 eV per atom